[1]
Here is crystalline Mo3Rh2 at its relaxed geometry from the Alexandria database. Energies are from GGA-PBE.

a b c (Å): 11.606 11.606 11.606
angles (deg): 13.68 13.68 13.68
Fractional positions:
1 Mo 0.000 0.000 0.000
2 Mo 0.203 0.203 0.203
3 Mo 0.797 0.797 0.797
4 Rh 0.399 0.399 0.399
5 Rh 0.601 0.601 0.601

## Properties
The calculated volume is 15.22 Å³ per atom. The calculation puts the offset from the most stable computed form at 39 meV per atom. The formation energy comes out at 0.043 eV per atom.


[2]
Here is crystalline MoRh3 at its relaxed geometry from the Alexandria database. Energies are from GGA-PBE.

a b c (Å): 4.756 4.756 4.743
angles (deg): 99.52 99.52 33.38
Fractional positions:
1 Mo 0.000 0.000 0.000
2 Rh 0.251 0.251 0.753
3 Rh 0.500 0.500 0.500
4 Rh 0.749 0.749 0.247

## Properties
The calculated volume is 14.54 Å³ per atom. The formation energy comes out at -0.091 eV per atom.


[3]
Here is crystalline MoRh at its relaxed geometry from the Alexandria database. Energies are from GGA-PBE.

a b c (Å): 9.267 9.267 9.267
angles (deg): 17.19 17.19 17.19
Fractional positions:
1 Mo 0.121 0.121 0.121
2 Mo 0.879 0.879 0.879
3 Rh 0.376 0.376 0.376
4 Rh 0.624 0.624 0.624

## Properties
The calculated volume is 15.16 Å³ per atom. The formation energy comes out at -0.011 eV per atom.